# Re2TeRu, optimized geometry, DFT GGA-PBE
# volume	65.4	Å³/cell
# uncorrected formation energy	0.797	eV/atom
# spin magnetization	0.00	Bohr magnetons per cell
# DFT total energy	-8.5311	eV/atom
# N(E_F)	6.2	states/eV/cell
# SG	No. 123
data_Re2TeRu
_chemical_formula_sum 'Re2 Te1 Ru1'
_symmetry_space_group_name_H-M 'P 1'
_symmetry_Int_Tables_number 1
_symmetry_space_group_name_Hall 'P 1'
_cell_length_a 4.520
_cell_length_b 3.804
_cell_length_c 3.804
_cell_angle_alpha 90.00
_cell_angle_beta 90.00
_cell_angle_gamma 90.00
loop_
_atom_site_label
_atom_site_fract_x
_atom_site_fract_y
_atom_site_fract_z
Re1 0.000 0.000 0.000
Re2 0.000 0.500 0.500
Ru1 0.500 0.500 0.000
Te1 0.500 0.000 0.500

# ReTe2Ru, optimized geometry, DFT GGA-PBE
# volume	74.4	Å³/cell
# offset from the most stable computed form	0.255	eV per atom
# uncorrected formation energy	0.552	eV/atom
# spin magnetization	0.00	Bohr magnetons per cell
# DFT total energy	-6.4494	eV/atom
# N(E_F)	2.3	states/eV/cell
# SG	No. 12
data_ReTe2Ru
_chemical_formula_sum 'Re1 Te2 Ru1'
_symmetry_space_group_name_H-M 'P 1'
_symmetry_Int_Tables_number 1
_symmetry_space_group_name_Hall 'P 1'
_cell_length_a 4.497
_cell_length_b 4.497
_cell_length_c 5.600
_cell_angle_alpha 78.00
_cell_angle_beta 78.00
_cell_angle_gamma 42.37
loop_
_atom_site_label
_atom_site_fract_x
_atom_site_fract_y
_atom_site_fract_z
Re1 0.750 0.750 0.750
Ru1 0.250 0.250 0.250
Te1 0.003 0.003 0.998
Te2 0.497 0.497 0.502

# Re2TeRu, optimized geometry, DFT GGA-PBE
# volume	65.4	Å³/cell
# uncorrected formation energy	0.699	eV/atom
# spin magnetization	0.00	Bohr magnetons per cell
# DFT total energy	-8.6293	eV/atom
# N(E_F)	4.0	states/eV/cell
# SG	No. 47
data_Re2TeRu
_chemical_formula_sum 'Re2 Te1 Ru1'
_symmetry_space_group_name_H-M 'P 1'
_symmetry_Int_Tables_number 1
_symmetry_space_group_name_Hall 'P 1'
_cell_length_a 3.050
_cell_length_b 4.512
_cell_length_c 4.756
_cell_angle_alpha 90.00
_cell_angle_beta 90.00
_cell_angle_gamma 90.00
loop_
_atom_site_label
_atom_site_fract_x
_atom_site_fract_y
_atom_site_fract_z
Re1 0.000 0.000 0.000
Re2 0.500 0.500 0.000
Ru1 0.500 0.000 0.500
Te1 0.000 0.500 0.500

What did the first record say?
# Re2TeRu, optimized geometry, DFT GGA-PBE
# volume	65.4	Å³/cell
# uncorrected formation energy	0.797	eV/atom
# spin magnetization	0.00	Bohr magnetons per cell
# DFT total energy	-8.5311	eV/atom
# N(E_F)	6.2	states/eV/cell
# SG	No. 123
data_Re2TeRu
_chemical_formula_sum 'Re2 Te1 Ru1'
_symmetry_space_group_name_H-M 'P 1'
_symmetry_Int_Tables_number 1
_symmetry_space_group_name_Hall 'P 1'
_cell_length_a 4.520
_cell_length_b 3.804
_cell_length_c 3.804
_cell_angle_alpha 90.00
_cell_angle_beta 90.00
_cell_angle_gamma 90.00
loop_
_atom_site_label
_atom_site_fract_x
_atom_site_fract_y
_atom_site_fract_z
Re1 0.000 0.000 0.000
Re2 0.000 0.500 0.500
Ru1 0.500 0.500 0.000
Te1 0.500 0.000 0.500

Question: uncorrected formation energy of number 3 (Re2TeRu)?
Answer: 0.699 eV/atom

Question: Which formula does entry 1 have?
Answer: Re2TeRu